1.
{
  "formula": "PdOF2",
  "functional": "PBE-GGA",
  "state": "relaxed",
  "space_group": "R-3m (166)",
  "magnetic_moment_mub_per_cell": 0.01,
  "formation_energy_uncorrected_ev_per_atom": -0.02,
  "lattice": [[-3.100, -0.306, 6.760], [-1.361, -3.100, 6.628], [0.124, -0.273, 7.437]],
  "species": ["O", "Pd", "F", "F"],
  "frac_coords": [[0.000, 0.000, 0.000], [0.500, 0.500, 0.500], [0.885, 0.885, 0.885], [0.115, 0.115, 0.115]]
}

***

2.
{
  "formula": "Pd4O5F",
  "functional": "PBE-GGA",
  "state": "relaxed",
  "space_group": "Pmmn (59)",
  "magnetic_moment_mub_per_cell": 0.00,
  "formation_energy_uncorrected_ev_per_atom": -0.38,
  "lattice": [[5.333, 0.000, 0.000], [0.000, 6.311, 0.000], [0.000, 0.000, 7.239]],
  "species": ["Pd", "Pd", "Pd", "Pd", "Pd", "Pd", "Pd", "Pd", "O", "O", "O", "O", "O", "O", "O", "O", "O", "O", "F", "F"],
  "frac_coords": [[0.005, 0.000, 0.740], [0.496, 0.747, 0.000], [0.496, 0.253, 0.000], [0.005, 0.000, 0.260], [0.995, 0.500, 0.240], [0.504, 0.753, 0.500], [0.504, 0.247, 0.500], [0.995, 0.500, 0.760], [0.255, 0.747, 0.781], [0.255, 0.253, 0.781], [0.831, 0.500, 0.000], [0.255, 0.747, 0.219], [0.255, 0.253, 0.219], [0.745, 0.753, 0.281], [0.745, 0.247, 0.281], [0.169, 0.000, 0.500], [0.745, 0.247, 0.719], [0.745, 0.753, 0.719], [0.863, 0.000, 0.000], [0.137, 0.500, 0.500]]
}

***

3.
{
  "formula": "PdOF",
  "functional": "PBE-GGA",
  "state": "relaxed",
  "space_group": "P-1 (2)",
  "magnetic_moment_mub_per_cell": 0.00,
  "formation_energy_uncorrected_ev_per_atom": -0.64,
  "lattice": [[-2.294, -0.222, -2.574], [3.779, -2.576, -3.149], [0.524, -4.427, 2.206]],
  "species": ["Pd", "Pd", "O", "O", "F", "F"],
  "frac_coords": [[0.258, 0.267, 0.515], [0.742, 0.733, 0.485], [0.843, 0.372, 0.688], [0.157, 0.628, 0.312], [0.359, 0.891, 0.720], [0.641, 0.109, 0.280]]
}

***

4.
{
  "formula": "PdOF",
  "functional": "PBE-GGA",
  "state": "relaxed",
  "space_group": "C2/m (12)",
  "magnetic_moment_mub_per_cell": 1.08,
  "formation_energy_uncorrected_ev_per_atom": -0.47,
  "lattice": [[2.767, 0.000, 0.000], [1.384, 6.134, -0.690], [1.384, 2.146, 4.682]],
  "species": ["Pd", "Pd", "F", "F", "O", "O"],
  "frac_coords": [[0.383, 0.744, 0.490], [0.617, 0.256, 0.510], [0.842, 0.065, 0.251], [0.158, 0.935, 0.749], [0.596, 0.560, 0.247], [0.404, 0.440, 0.753]]
}

***

5.
{
  "formula": "PdO2F3",
  "functional": "PBE-GGA",
  "state": "relaxed",
  "space_group": "Cmmm (65)",
  "magnetic_moment_mub_per_cell": 0.01,
  "formation_energy_uncorrected_ev_per_atom": -0.01,
  "lattice": [[1.874, -6.674, 0.000], [1.874, 6.674, 0.000], [0.000, 0.000, 6.384]],
  "species": ["Pd", "Pd", "O", "O", "O", "O", "F", "F", "F", "F", "F", "F"],
  "frac_coords": [[0.000, 0.000, 0.250], [0.000, 0.000, 0.750], [0.249, 0.753, 0.250], [0.247, 0.751, 0.750], [0.753, 0.249, 0.250], [0.751, 0.247, 0.750], [0.500, 0.500, 0.750], [0.500, 0.500, 0.250], [0.905, 0.095, 0.000], [0.095, 0.905, 0.500], [0.905, 0.095, 0.500], [0.095, 0.905, 0.000]]
}

***

6.
{
  "formula": "PdOF",
  "functional": "PBE-GGA",
  "state": "relaxed",
  "space_group": "P3m1 (156)",
  "magnetic_moment_mub_per_cell": 0.22,
  "formation_energy_uncorrected_ev_per_atom": -0.60,
  "lattice": [[3.272, 0.000, 0.000], [-1.636, 2.834, 0.000], [0.000, 0.000, 4.389]],
  "species": ["O", "Pd", "F"],
  "frac_coords": [[0.000, 0.000, 0.126], [0.667, 0.333, 0.310], [0.333, 0.667, 0.564]]
}